Material: Ca2Pb2Au15
Method: DFT, PBE
State: optimized geometry

It has space group R-3m (No. 166, hexagonal axes), with a = 9.9198 Å, b = 9.9198 Å, c = 14.1777 Å, α = 90.00°, β = 90.00° and γ = 120.00°. Symmetry generates all atoms from Ca at (0.0000, 0.0000, 0.1414), Pb at (0.0000, 0.0000, 0.3960), Au at (0.0000, 0.3400, 0.5000), Au at (0.0000, 0.5000, 0.0000) and Au at (0.0118, 0.5059, 0.6683).

As for the formation energy from the elements: -0.24 eV/atom.